VASP calculation (GGA-PBE) on a relaxed structure of Th8Fe2C.

abc: 3.679 8.606 9.177
angles: 95.15 101.56 90.00
Fractional positions:
Th: 0.018 0.207 0.036
Th: 0.354 0.026 0.708
Th: 0.982 0.793 0.964
Th: 0.404 0.463 0.807
Th: 0.781 0.668 0.562
Th: 0.219 0.332 0.438
Th: 0.596 0.537 0.193
Th: 0.646 0.974 0.292
Fe: 0.833 0.264 0.666
Fe: 0.167 0.736 0.334
C: 0.500 0.000 0.000

DFT total energy: -7.876 eV/atom
M_tot: 0.0 μB per formula unit
E_form: -0.10 eV per atom
SG: No. 12